# PBE Ag2IrRh, relaxed
data_Ag2IrRh
_symmetry_space_group_name_H-M 'P 4/m m m'
_symmetry_Int_Tables_number 123
_symmetry_space_group_name_Hall '-P 4 2'
_cell_length_a 4.866
_cell_length_b 4.866
_cell_length_c 2.745
_cell_angle_alpha 90.00
_cell_angle_beta 90.00
_cell_angle_gamma 90.00
loop_
_atom_site_label
_atom_site_type_symbol
_atom_site_fract_x
_atom_site_fract_y
_atom_site_fract_z
Ag1 Ag 0.000 0.500 0.000
Ir1 Ir 0.000 0.000 0.500
Rh1 Rh 0.500 0.500 0.500
# **Polymorph energy (0 for the lowest one)**: 428.0 meV/atom
# **Calculated formation energy**: 0.60 eV per atom